[1]
Below is a relaxed Ac5Zn2Ni5 crystal, with properties calculated at the GGA-PBE level.

Calculated values
The value obtained for the total energy is -4.56 eV per atom.

extended XYZ file:
```
12
Lattice="-2.109 1.526 3.076 -5.762 -5.254 1.295 4.834 -3.464 7.675" Properties=species:S:1:pos:R:3 pbc="T T T"
Ac -0.464 -4.359 4.485
Ac -1.123 -5.998 10.126
Ac -4.643 -5.546 4.848
Ac 1.605 -1.646 7.197
Ac -1.914 -1.194 1.920
Zn 0.263 -4.451 7.669
Zn -3.300 -2.741 4.376
Ni -1.234 -1.491 5.174
Ni 0.488 -2.881 9.684
Ni -3.526 -4.310 2.361
Ni -1.804 -5.700 6.872
Ni 0.000 0.000 0.000
```

***

[2]
Below is a relaxed Sm5In4Au crystal, with properties calculated at the GGA-PBE level.

Calculated values
The value obtained for the total energy is -4.33 eV per atom.

extended XYZ file:
```
10
Lattice="-0.976 0.888 3.403 1.989 -2.773 1.295 16.388 12.438 1.457" Properties=species:S:1:pos:R:3 pbc="T T T"
Sm 1.970 0.169 2.479
Sm 5.337 2.724 2.778
Sm 8.700 5.277 3.077
Sm 12.064 7.829 3.376
Sm 15.431 10.385 3.675
In 3.148 2.389 0.280
In 6.513 4.943 0.579
In 9.875 7.495 0.878
In 13.241 10.049 1.177
Au 0.000 0.000 0.000
```

***

[3]
Below is a relaxed KNpSnCl6 crystal, with properties calculated at the GGA-PBE level.

Calculated values
The value obtained for the formation energy (no corrections) is -1.55 eV/atom.

extended XYZ file:
```
18
Lattice="7.380 0.000 0.000 -3.690 6.392 0.000 0.000 0.000 13.337" Properties=species:S:1:pos:R:3 pbc="T T T"
K 0.000 0.000 0.000
K 0.000 0.000 6.668
Np 0.000 4.261 3.334
Np 3.690 2.131 10.003
Sn 3.690 2.131 3.334
Sn 0.000 4.261 10.003
Cl 2.282 4.115 1.817
Cl -1.268 2.358 1.817
Cl 2.676 0.081 8.485
Cl 4.958 4.034 11.520
Cl 1.268 2.358 4.852
Cl -2.282 4.115 4.852
Cl 4.705 0.081 11.520
Cl 1.015 6.311 4.852
Cl 5.972 2.277 8.485
Cl -1.015 6.311 1.817
Cl 2.423 4.034 8.485
Cl 1.408 2.277 11.520
```